Record 1
## NbCrPO2 (PBE with a Hubbard U)

Data for NbCrPO2 after structural relaxation.

Properties
Size of the total moment   0.735 μB per atom
Calculated density   4.9 g/cm3
SG   P4/mmm, No. 123
Excess energy over the best structure of this formula in the dataset   711 meV per atom

Cell lengths 3.696, 3.696, 5.120 Å; angles 90.00, 90.00, 90.00 degrees
Fractional coordinates of all 5 atoms:
Cr 0.000 0.000 0.000
O 0.000 0.500 0.000
O 0.500 0.000 0.000
P 0.000 0.000 0.500
Nb 0.500 0.500 0.500

---

Record 2
## Nb2CrPO (PBE with a Hubbard U)

Data for Nb2CrPO after structural relaxation.

Properties
Size of the total moment   0.000 μB per atom
Calculated density   5.9 g/cm3
SG   P4/mmm, No. 123
Excess energy over the best structure of this formula in the dataset   1273 meV per atom

Cell lengths 4.836, 3.436, 4.836 Å; angles 90.00, 90.00, 90.00 degrees
Fractional coordinates of all 5 atoms:
Nb 0.500 0.000 0.000
Nb 0.000 0.000 0.500
O 0.000 0.500 0.000
P 0.000 0.000 0.000
Cr 0.500 0.500 0.500

---

Record 3
## NbCrP2O (PBE with a Hubbard U)

Data for NbCrP2O after structural relaxation.

Properties
Size of the total moment   0.570 μB per atom
Calculated density   4.7 g/cm3
SG   P4/mmm, No. 123
Excess energy over the best structure of this formula in the dataset   390 meV per atom

Cell lengths 4.743, 4.743, 3.483 Å; angles 90.00, 90.00, 90.00 degrees
Fractional coordinates of all 5 atoms:
Nb 0.500 0.500 0.500
P 0.500 0.000 0.000
P 0.000 0.500 0.000
O 0.000 0.000 0.500
Cr 0.000 0.000 0.000

---

Record 4
## Nb3CrP6O24 (PBE with a Hubbard U)

Data for Nb3CrP6O24 after structural relaxation.

Properties
Size of the total moment   0.085 μB per atom
Calculated density   3.0 g/cm3
Uncorrected energy   -7.90 eV/atom
SG   R3, No. 146

Cell lengths 9.033, 9.033, 9.033 Å; angles 57.84, 57.84, 57.84 degrees
Fractional coordinates of all 34 atoms:
Nb 0.358 0.358 0.358
Nb 0.142 0.142 0.142
Nb 0.640 0.640 0.640
O 0.789 0.570 0.416
O 0.864 0.499 0.721
O 0.054 0.301 0.927
O 0.583 0.210 0.427
O 0.499 0.721 0.864
O 0.416 0.789 0.570
O 0.707 0.067 0.952
O 0.067 0.952 0.707
O 0.647 0.757 0.013
O 0.359 0.231 0.994
O 0.500 0.283 0.133
O 0.721 0.864 0.499
O 0.013 0.647 0.757
O 0.570 0.416 0.789
O 0.427 0.583 0.210
O 0.210 0.427 0.583
O 0.133 0.500 0.283
O 0.301 0.927 0.054
O 0.231 0.994 0.359
O 0.994 0.359 0.231
O 0.952 0.707 0.067
O 0.757 0.013 0.647
O 0.927 0.054 0.301
O 0.283 0.133 0.500
P 0.240 0.967 0.539
P 0.476 0.749 0.030
P 0.967 0.539 0.240
P 0.539 0.240 0.967
P 0.749 0.030 0.476
P 0.030 0.476 0.749
Cr 0.856 0.856 0.856